1.
Entry from the Alexandria database: MgSb2Br after structural relaxation (PBE).

a = 3.8592 Å, b = 3.8592 Å, c = 8.2157 Å
α = 90.00°, β = 90.00°, γ = 90.00°
Space group P4mm (No. 99)
One atom of each set of equivalent atoms:
Mg 0.0000 0.0000 0.0000 (multiplicity 1)
Sb 0.0000 0.0000 0.3944 (multiplicity 1)
Sb 0.5000 0.5000 0.2438 (multiplicity 1)
Br 0.5000 0.5000 0.8150 (multiplicity 1)

Values from the calculation:
- Calculated volume: 30.6 A^3/atom
- ΔE to the lowest computed polymorph: 0.179 eV/atom
- Final energy: -12.445 eV per cell
- Formation energy without anion corrections: -0.233 eV/atom
- Density of states at the Fermi level: 0.9 states/eV/f.u.
- ρ: 4.719 g/cm3


2.
Entry from the Alexandria database: MgSb2Br after structural relaxation (PBE).

a = 5.8024 Å, b = 11.5312 Å, c = 3.3058 Å
α = 90.00°, β = 90.00°, γ = 90.00°
Space group Cmmm (No. 65)
One atom of each set of equivalent atoms:
Mg 0.0000 0.0000 0.0000 (multiplicity 2)
Sb 0.2500 0.2500 0.5000 (multiplicity 4)
Br 0.0000 0.5000 0.0000 (multiplicity 2)

Values from the calculation:
- Calculated volume: 27.6 A^3/atom
- ΔE to the lowest computed polymorph: 0.450 eV/atom
- Final energy: -22.716 eV per cell
- Formation energy without anion corrections: 0.039 eV/atom
- Density of states at the Fermi level: 2.9 states/eV/f.u.
- ρ: 5.221 g/cm3


3.
Entry from the Alexandria database: MgSb2Br after structural relaxation (PBE).

a = 9.5129 Å, b = 3.5979 Å, c = 7.0491 Å
α = 90.00°, β = 110.21°, γ = 90.00°
Space group Cm (No. 8)
One atom of each set of equivalent atoms:
Mg 0.0000 0.0000 0.0000 (multiplicity 2)
Sb 0.0629 0.5000 0.4029 (multiplicity 2)
Sb 0.3501 0.0000 0.6128 (multiplicity 2)
Br 0.2199 0.5000 0.0258 (multiplicity 2)

Values from the calculation:
- Calculated volume: 28.3 A^3/atom
- ΔE to the lowest computed polymorph: 0.075 eV/atom
- Final energy: -25.723 eV per cell
- Formation energy without anion corrections: -0.337 eV/atom
- Density of states at the Fermi level: 0.6 states/eV/f.u.
- ρ: 5.101 g/cm3